ScAgHg2 | GGA-PBE | optimized geometry

abc: 4.8466 4.8466 6.9932
angles: 90.00 90.00 90.00
With the nearest neighbours (Å) after each atom.
Space group I-4m2 (No. 119)
Unique sites:
Sc  0.0000  0.0000  0.0000 x2  4 Hg 2.99, 4 Ag 2.99
Ag  0.0000  0.5000  0.2500 x2  4 Hg 2.99, 4 Sc 2.99
Hg  0.0000  0.0000  0.5000 x2  4 Hg 2.99, 4 Ag 2.99
Hg  0.0000  0.5000  0.7500 x2  4 Hg 2.99, 4 Sc 2.99

calculated volume = 164.3 Å³/cell
magnetic moment = 0.0 Bohr magnetons per cell


ScAg2Hg | GGA-PBE | optimized geometry

abc: 4.4368 4.4368 7.9322
angles: 90.00 90.00 90.00
With the nearest neighbours (Å) after each atom.
Space group I4/mmm (No. 139)
Unique sites:
Sc  0.0000  0.0000  0.0000 x2  8 Ag 2.98, 4 Hg 3.14
Ag  0.0000  0.5000  0.2500 x4  4 Hg 2.98, 4 Sc 2.98, 4 Ag 3.14
Hg  0.0000  0.0000  0.5000 x2  8 Ag 2.98, 4 Sc 3.14

calculated volume = 156.1 Å³/cell
magnetic moment = 0.0 Bohr magnetons per cell


ScAg2Hg | GGA-PBE | optimized geometry

abc: 5.8609 10.2978 3.1048
angles: 90.00 119.04 90.00
With the nearest neighbours (Å) after each atom.
Space group C2/m (No. 12)
Unique sites:
Sc  0.0000  0.0000  0.0000 x2  4 Hg 2.93-3.07, 4 Ag 3.00, 2 Sc 3.10
Ag  0.2500  0.2500  0.5000 x4  6 Ag 2.93-3.10, 2 Hg 3.00, 2 Sc 3.00
Hg  0.0000  0.5000  0.0000 x2  4 Sc 2.93-3.07, 4 Ag 3.00, 2 Hg 3.10

calculated volume = 163.8 Å³/cell
magnetic moment = 0.0 Bohr magnetons per cell


ScAg3Hg | GGA-PBE | optimized geometry

abc: 5.1401 5.1401 5.1401
angles: 90.00 90.00 90.00
With the nearest neighbours (Å) after each atom.
Space group Pm-3m (No. 221)
Unique sites:
Sc  0.0000  0.0000  0.0000 x1  12 Ag 3.63
Ag  0.0000  0.5000  0.5000 x3  2 Hg 2.57
Hg  0.5000  0.5000  0.5000 x1  6 Ag 2.57

calculated volume = 135.8 Å³/cell
magnetic moment = 0.0 Bohr magnetons per cell


Sc3Ag2Hg7 | GGA-PBE | optimized geometry

abc: 4.7958 4.7152 12.4822
angles: 90.00 100.98 90.00
With the nearest neighbours (Å) after each atom.
Space group P2/m (No. 10)
Unique sites:
Sc  0.0000  0.0000  0.0000 x1  12 Hg 3.05-3.36
Sc  0.3498  0.5000  0.6997 x2  6 Hg 2.94-2.96
Ag  0.1508  0.0000  0.3027 x2  7 Hg 2.93-3.11
Hg  0.0807  0.5000  0.1603 x2  2 Ag 2.93, 4 Sc 2.95-3.07, 2 Hg 3.10
Hg  0.2783  0.0000  0.5568 x2  2 Hg 2.77, 2 Sc 2.94, 2 Ag 2.95-2.96
Hg  0.4239  0.0000  0.8463 x2  4 Sc 2.96-3.05, 2 Ag 3.01-3.02, 2 Hg 3.02
Hg  0.5000  0.5000  0.0000 x1  8 Hg 3.02-3.10, 4 Sc 3.36

calculated volume = 277.1 Å³/cell
magnetic moment = 0.0 Bohr magnetons per cell


Sc6Ag5Hg | GGA-PBE | optimized geometry

abc: 4.9038 6.8474 7.7272
angles: 90.00 108.37 90.00
With the nearest neighbours (Å) after each atom.
Space group P2/m (No. 10)
Unique sites:
Sc  0.0000  0.2467  0.0000 x2  6 Ag 2.95-3.01, 2 Hg 3.00
Sc  0.3316  0.2471  0.6633 x4  7 Ag 2.97-3.00, 1 Hg 3.02
Ag  0.1652  0.0000  0.3299 x2  8 Sc 2.95-2.98
Ag  0.1677  0.5000  0.3349 x2  8 Sc 2.97-3.01
Ag  0.5000  0.0000  0.0000 x1  8 Sc 2.98-2.99
Hg  0.5000  0.5000  0.0000 x1  8 Sc 3.00-3.02

calculated volume = 246.3 Å³/cell
magnetic moment = 0.0 Bohr magnetons per cell


ScAg2Hg | GGA-PBE | optimized geometry

abc: 3.0878 4.9025 5.3945
angles: 90.00 94.28 90.00
With the nearest neighbours (Å) after each atom.
Space group P2/m (No. 10)
Unique sites:
Sc  0.0000  0.0000  0.0000 x1  4 Ag 3.00, 4 Hg 3.01-3.21, 2 Sc 3.09
Ag  0.3277  0.5000  0.7542 x2  4 Ag 2.78-3.09, 2 Hg 2.88, 2 Sc 3.00
Hg  0.5000  0.0000  0.5000 x1  4 Ag 2.88, 4 Sc 3.01-3.21, 2 Hg 3.09

calculated volume = 81.4 Å³/cell
magnetic moment = 0.0 Bohr magnetons per cell


Sc3AgHg | GGA-PBE | optimized geometry

abc: 5.2723 5.2723 5.2723
angles: 90.00 90.00 90.00
With the nearest neighbours (Å) after each atom.
Space group Pm-3m (No. 221)
Unique sites:
Sc  0.0000  0.0000  0.5000 x3  2 Hg 2.64
Ag  0.5000  0.5000  0.5000 x1  12 Sc 3.73
Hg  0.0000  0.0000  0.0000 x1  6 Sc 2.64

calculated volume = 146.6 Å³/cell
magnetic moment = 0.3 Bohr magnetons per cell


Number 1: calculated formation energy -0.20 eV per atom. Number 2: calculated formation energy -0.20 eV per atom. Number 3: calculated formation energy -0.04 eV per atom. Number 4: calculated formation energy 0.63 eV per atom. Number 5: calculated formation energy -0.08 eV per atom. Number 6: calculated formation energy -0.30 eV per atom. Number 7: calculated formation energy -0.10 eV per atom. Number 8: calculated formation energy 0.45 eV per atom.